(1)
TlRe2Cl, optimized geometry, DFT GGA-PBE; uncorrected energy = -6.128 eV/atom; relative energy among the computed polymorphs = 930 meV per atom; total magnetization = 0.0 Bohr magnetons per cell
1.0
2.8331 0.0000 0.0000
0.0000 5.0122 0.0000
0.0000 0.0000 5.0258
Tl Re Cl
1 2 1
Cartesian
0.0000 0.0000 0.0000
0.0000 2.5061 2.5129
1.4165 0.0000 2.5129
1.4165 2.5061 0.0000



(2)
Pm7SmY4, optimized geometry, DFT GGA-PBE; uncorrected energy = -5.318 eV/atom; relative energy among the computed polymorphs = 0 meV per atom; total magnetization = 0.0 Bohr magnetons per cell; DFT formation energy = 0.0 eV per formula unit
1.0
6.3331 0.0000 0.0000
0.0018 7.3083 0.0000
2.1260 0.0014 8.7549
Pm Sm Y
7 1 4
Cartesian
0.0000 0.0000 0.0000
2.1132 3.6563 2.9232
3.1807 5.4807 5.8262
3.1624 5.4958 0.0015
5.2986 1.8139 8.7534
5.2803 1.8290 2.9287
6.3478 3.6534 5.8317
0.0009 3.6542 0.0000
2.1065 0.0006 2.9271
3.1852 1.8138 5.8360
5.2758 5.4959 2.9189
6.3545 7.3091 5.8278



(3)
Na2ReRhF, optimized geometry, DFT GGA-PBE; uncorrected energy = -4.265 eV/atom; total magnetization = 2.9 Bohr magnetons per cell
1.0
5.5728 0.0000 0.0000
0.0000 5.5728 0.0000
0.0000 0.0000 4.6271
Na Re Rh F
2 1 1 1
Cartesian
0.0000 2.7864 0.0000
2.7864 0.0000 0.0000
0.0000 0.0000 2.3136
0.0000 0.0000 0.0000
2.7864 2.7864 2.3136



(4)
SiTcW2, optimized geometry, DFT GGA-PBE; uncorrected energy = -10.375 eV/atom; total magnetization = 0.0 Bohr magnetons per cell
1.0
2.8418 0.0000 0.0000
0.0000 4.0920 0.0000
0.0000 0.0000 5.1815
Si Tc W
1 1 2
Cartesian
0.0000 0.0000 0.0000
1.4209 2.0460 1.1942
0.0000 0.0000 2.5546
1.4209 2.0460 3.9215